VASP calculation (PBE) on LaCuPt2 after structural relaxation.

Results
ρ ... 12.50 g cm⁻³
DFT formation energy ... -0.4985 eV per atom
Total energy ... -23.10 eV/f.u.
M_tot ... 0.00 Bohr magnetons per cell

abc: 6.8028 6.8028 6.8028
angles: 90.00 90.00 90.00
Space group Fm-3m (No. 225)
Asymmetric unit:
La: 0.0000 0.0000 0.0000 [4 per cell]
Cu: 0.0000 0.0000 0.5000 [4 per cell]
Pt: 0.2500 0.2500 0.2500 [8 per cell]


VASP calculation (PBE) on LaCuPt3 after structural relaxation.

Results
ρ ... 12.71 g cm⁻³
DFT formation energy ... -0.2636 eV per atom
Total energy ... -28.46 eV/f.u.
M_tot ... 0.00 Bohr magnetons per cell

abc: 4.6861 4.6861 4.6861
angles: 90.00 90.00 90.00
Space group Pm-3m (No. 221)
Asymmetric unit:
La: 0.0000 0.0000 0.0000 [1 per cell]
Cu: 0.5000 0.5000 0.5000 [1 per cell]
Pt: 0.0000 0.5000 0.5000 [3 per cell]


VASP calculation (PBE) on La3Cu2Pt4 after structural relaxation.

Results
ρ ... 11.01 g cm⁻³
DFT formation energy ... -0.8725 eV per atom
Total energy ... -54.99 eV/f.u.
M_tot ... 0.00 Bohr magnetons per cell

abc: 11.0520 4.4131 8.7008
angles: 90.00 109.72 90.00
Space group C2/m (No. 12)
Asymmetric unit:
La: 0.0000 0.0000 0.0000 [2 per cell]
La: 0.1641 0.5000 0.6727 [4 per cell]
Cu: 0.1152 0.5000 0.2871 [4 per cell]
Pt: 0.0647 0.0000 0.3897 [4 per cell]
Pt: 0.2122 0.5000 0.0650 [4 per cell]


VASP calculation (PBE) on LaCu2Pt4 after structural relaxation.

Results
ρ ... 11.04 g cm⁻³
DFT formation energy ... 0.0094 eV per atom
Total energy ... -37.22 eV/f.u.
M_tot ... 0.00 Bohr magnetons per cell

abc: 7.8507 7.8507 5.1080
angles: 90.00 90.00 90.00
Space group I4/mmm (No. 139)
Asymmetric unit:
La: 0.0000 0.0000 0.0000 [2 per cell]
Cu: 0.0000 0.5000 0.2500 [4 per cell]
Pt: 0.0000 0.2307 0.5000 [8 per cell]


VASP calculation (PBE) on LaCuPt2 after structural relaxation.

Results
ρ ... 11.18 g cm⁻³
DFT formation energy ... -0.6328 eV per atom
Total energy ... -23.64 eV/f.u.
M_tot ... 0.00 Bohr magnetons per cell

abc: 3.9251 4.5001 4.9814
angles: 90.00 90.09 90.00
Space group Pm (No. 6)
Asymmetric unit:
La: 0.0000 0.0000 0.0000 [1 per cell]
Cu: 0.5007 0.5000 0.2870 [1 per cell]
Pt: 0.4995 0.5000 0.7976 [1 per cell]
Pt: 0.4997 0.0000 0.4999 [1 per cell]


VASP calculation (PBE) on La3Cu4Pt2 after structural relaxation.

Results
ρ ... 9.10 g cm⁻³
DFT formation energy ... -0.5980 eV per atom
Total energy ... -48.63 eV/f.u.
M_tot ... 0.00 Bohr magnetons per cell

abc: 11.0229 4.2987 8.6475
angles: 90.00 109.10 90.00
Space group C2/m (No. 12)
Asymmetric unit:
La: 0.0000 0.0000 0.0000 [2 per cell]
La: 0.1733 0.5000 0.6595 [4 per cell]
Cu: 0.0429 0.0000 0.3866 [4 per cell]
Cu: 0.2254 0.5000 0.0525 [4 per cell]
Pt: 0.1120 0.5000 0.2722 [4 per cell]


VASP calculation (PBE) on LaCuPt2 after structural relaxation.

Results
ρ ... 11.94 g cm⁻³
DFT formation energy ... -0.7511 eV per atom
Total energy ... -24.11 eV/f.u.
M_tot ... 0.00 Bohr magnetons per cell

abc: 7.6573 4.4190 5.4931
angles: 90.00 117.51 90.00
Space group C2/m (No. 12)
Asymmetric unit:
La: 0.0000 0.0000 0.0000 [2 per cell]
Cu: 0.0000 0.5000 0.5000 [2 per cell]
Pt: 0.2059 0.0000 0.6176 [4 per cell]


VASP calculation (PBE) on LaCuPt2 after structural relaxation.

Results
ρ ... 10.50 g cm⁻³
DFT formation energy ... -0.4680 eV per atom
Total energy ... -22.98 eV/f.u.
M_tot ... 0.00 Bohr magnetons per cell

abc: 4.7002 4.7002 16.9770
angles: 90.00 90.00 90.00
Space group I-42d (No. 122)
Asymmetric unit:
La: 0.0000 0.0000 0.0000 [4 per cell]
Cu: 0.0000 0.0000 0.5000 [4 per cell]
Pt: 0.1063 0.2500 0.6250 [8 per cell]


VASP calculation (PBE) on La2CuPt after structural relaxation.

Results
ρ ... 8.37 g cm⁻³
DFT formation energy ... -0.4010 eV per atom
Total energy ... -21.60 eV/f.u.
M_tot ... 0.00 Bohr magnetons per cell

abc: 3.6387 3.6387 8.0414
angles: 90.00 90.00 90.00
Space group P4mm (No. 99)
Asymmetric unit:
La: 0.0000 0.0000 0.0000 [1 per cell]
La: 0.5000 0.5000 0.4310 [1 per cell]
Cu: 0.5000 0.5000 0.7935 [1 per cell]
Pt: 0.0000 0.0000 0.6265 [1 per cell]


VASP calculation (PBE) on LaCuPt2 after structural relaxation.

Results
ρ ... 12.79 g cm⁻³
DFT formation energy ... -0.4750 eV per atom
Total energy ... -23.01 eV/f.u.
M_tot ... 0.00 Bohr magnetons per cell

abc: 6.7524 6.7524 6.7524
angles: 90.00 90.00 90.00
Space group F-43m (No. 216)
Asymmetric unit:
La: 0.0000 0.0000 0.0000 [4 per cell]
Cu: 0.2500 0.2500 0.2500 [4 per cell]
Pt: 0.0000 0.0000 0.5000 [4 per cell]
Pt: 0.2500 0.2500 0.7500 [4 per cell]


VASP calculation (PBE) on LaCu4Pt2 after structural relaxation.

Results
ρ ... 8.96 g cm⁻³
DFT formation energy ... 0.0855 eV per atom
Total energy ... -32.80 eV/f.u.
M_tot ... 0.00 Bohr magnetons per cell

abc: 7.2411 7.2411 5.5341
angles: 90.00 90.00 90.00
Space group I4/mmm (No. 139)
Asymmetric unit:
La: 0.0000 0.0000 0.0000 [2 per cell]
Cu: 0.0000 0.2225 0.5000 [8 per cell]
Pt: 0.0000 0.5000 0.2500 [4 per cell]


VASP calculation (PBE) on LaCuPt2 after structural relaxation.

Results
ρ ... 11.90 g cm⁻³
DFT formation energy ... -0.6707 eV per atom
Total energy ... -23.79 eV/f.u.
M_tot ... 0.00 Bohr magnetons per cell

abc: 7.6917 4.4475 5.4770
angles: 90.00 118.06 90.00
Space group Cm (No. 8)
Asymmetric unit:
La: 0.0000 0.0000 0.0000 [2 per cell]
Cu: 0.3000 0.5000 0.3996 [2 per cell]
Pt: 0.2041 0.0000 0.6116 [2 per cell]
Pt: 0.4752 0.0000 0.4256 [2 per cell]


VASP calculation (PBE) on La2CuPt after structural relaxation.

Results
ρ ... 7.92 g cm⁻³
DFT formation energy ... -0.5889 eV per atom
Total energy ... -22.35 eV/f.u.
M_tot ... 0.00 Bohr magnetons per cell

abc: 4.2513 4.2513 21.5494
angles: 90.00 90.00 120.00
Space group R3m (No. 160, hexagonal axes)
Asymmetric unit:
La: 0.0000 0.0000 0.0000 [3 per cell]
La: 0.0000 0.0000 0.1794 [3 per cell]
Cu: 0.0000 0.0000 0.4251 [3 per cell]
Pt: 0.0000 0.0000 0.5883 [3 per cell]


VASP calculation (PBE) on LaCuPt after structural relaxation.

Results
ρ ... 10.47 g cm⁻³
DFT formation energy ... -0.5377 eV per atom
Total energy ... -16.68 eV/f.u.
M_tot ... 0.00 Bohr magnetons per cell

abc: 3.6530 3.6530 9.4530
angles: 90.00 90.00 90.00
Space group I4mm (No. 107)
Asymmetric unit:
La: 0.0000 0.0000 0.0000 [2 per cell]
Cu: 0.0000 0.0000 0.6973 [2 per cell]
Pt: 0.0000 0.0000 0.3240 [2 per cell]


VASP calculation (PBE) on La2CuPt after structural relaxation.

Results
ρ ... 8.88 g cm⁻³
DFT formation energy ... -0.5403 eV per atom
Total energy ... -22.15 eV/f.u.
M_tot ... 0.00 Bohr magnetons per cell

abc: 12.6720 3.9259 4.2850
angles: 90.00 109.72 90.00
Space group Cm (No. 8)
Asymmetric unit:
La: 0.0000 0.0000 0.0000 [2 per cell]
La: 0.2262 0.0000 0.7256 [2 per cell]
Cu: 0.4285 0.0000 0.4290 [2 per cell]
Pt: 0.2707 0.5000 0.2700 [2 per cell]


VASP calculation (PBE) on La2Cu2Pt15 after structural relaxation.

Results
ρ ... 16.44 g cm⁻³
DFT formation energy ... -0.4663 eV per atom
Total energy ... -117.52 eV/f.u.
M_tot ... 0.00 Bohr magnetons per cell

abc: 9.3088 9.3088 13.4471
angles: 90.00 90.00 120.00
Space group R-3m (No. 166, hexagonal axes)
Asymmetric unit:
La: 0.0000 0.0000 0.1608 [6 per cell]
Cu: 0.0000 0.0000 0.4066 [6 per cell]
Pt: 0.0000 0.3082 0.5000 [18 per cell]
Pt: 0.0000 0.5000 0.0000 [9 per cell]
Pt: 0.0005 0.5003 0.3432 [18 per cell]


VASP calculation (PBE) on La4CuPt after structural relaxation.

Results
ρ ... 6.39 g cm⁻³
DFT formation energy ... -0.3095 eV per atom
Total energy ... -31.70 eV/f.u.
M_tot ... 0.00 Bohr magnetons per cell

abc: 9.8405 9.8405 8.7395
angles: 90.00 90.00 90.00
Space group I4_1md (No. 109)
Asymmetric unit:
La: 0.0000 0.3004 0.0000 [8 per cell]
La: 0.0000 0.3018 0.5065 [8 per cell]
Cu: 0.0000 0.0000 0.0000 [4 per cell]
Pt: 0.0000 0.0000 0.5044 [4 per cell]


VASP calculation (PBE) on La4Cu3Pt after structural relaxation.

Results
ρ ... 7.69 g cm⁻³
DFT formation energy ... -0.4332 eV per atom
Total energy ... -41.50 eV/f.u.
M_tot ... 0.00 Bohr magnetons per cell

abc: 4.0217 4.5673 11.0670
angles: 90.00 90.00 90.00
Space group Pmm2 (No. 25)
Asymmetric unit:
La: 0.0000 0.0000 0.0000 [1 per cell]
La: 0.0000 0.5000 0.2711 [1 per cell]
La: 0.5000 0.0000 0.4948 [1 per cell]
La: 0.5000 0.5000 0.7733 [1 per cell]
Cu: 0.0000 0.0000 0.6995 [1 per cell]
Cu: 0.0000 0.5000 0.5675 [1 per cell]
Cu: 0.5000 0.5000 0.0607 [1 per cell]
Pt: 0.5000 0.0000 0.2138 [1 per cell]


VASP calculation (PBE) on LaCuPt3 after structural relaxation.

Results
ρ ... 13.00 g cm⁻³
DFT formation energy ... -0.6654 eV per atom
Total energy ... -30.47 eV/f.u.
M_tot ... 0.00 Bohr magnetons per cell

abc: 5.3823 8.6767 8.6175
angles: 90.00 90.00 90.00
Space group Imma (No. 74)
Asymmetric unit:
La: 0.0000 0.2500 0.0358 [4 per cell]
Cu: 0.0000 0.0000 0.5000 [4 per cell]
Pt: 0.0000 0.2500 0.6633 [4 per cell]
Pt: 0.2500 0.0099 0.2500 [8 per cell]


VASP calculation (PBE) on LaCuPt2 after structural relaxation.

Results
ρ ... 12.95 g cm⁻³
DFT formation energy ... -0.5984 eV per atom
Total energy ... -23.50 eV/f.u.
M_tot ... 0.00 Bohr magnetons per cell

abc: 4.2528 4.2674 8.3724
angles: 90.00 90.00 90.00
Space group Immm (No. 71)
Asymmetric unit:
La: 0.0000 0.0000 0.0000 [2 per cell]
Cu: 0.0000 0.0000 0.5000 [2 per cell]
Pt: 0.0000 0.5000 0.2497 [4 per cell]


VASP calculation (PBE) on LaCuPt2 after structural relaxation.

Results
ρ ... 13.04 g cm⁻³
DFT formation energy ... -0.6200 eV per atom
Total energy ... -23.59 eV/f.u.
M_tot ... 0.00 Bohr magnetons per cell

abc: 4.1355 4.1355 8.8236
angles: 90.00 90.00 90.00
Space group I-4m2 (No. 119)
Asymmetric unit:
La: 0.0000 0.0000 0.0000 [2 per cell]
Cu: 0.0000 0.5000 0.2500 [2 per cell]
Pt: 0.0000 0.0000 0.5000 [2 per cell]
Pt: 0.0000 0.5000 0.7500 [2 per cell]


VASP calculation (PBE) on La2CuPt after structural relaxation.

Results
ρ ... 9.08 g cm⁻³
DFT formation energy ... -0.6205 eV per atom
Total energy ... -22.47 eV/f.u.
M_tot ... 0.00 Bohr magnetons per cell

abc: 5.1624 5.1624 3.6816
angles: 90.00 90.00 90.00
Space group P4/mmm (No. 123)
Asymmetric unit:
La: 0.0000 0.5000 0.0000 [2 per cell]
Cu: 0.0000 0.0000 0.5000 [1 per cell]
Pt: 0.5000 0.5000 0.5000 [1 per cell]


VASP calculation (PBE) on La2CuPt after structural relaxation.

Results
ρ ... 8.01 g cm⁻³
DFT formation energy ... -0.6074 eV per atom
Total energy ... -22.42 eV/f.u.
M_tot ... 0.00 Bohr magnetons per cell

abc: 7.4240 4.2843 7.4147
angles: 90.00 109.34 90.00
Space group C2/m (No. 12)
Asymmetric unit:
La: 0.2456 0.0000 0.2380 [4 per cell]
Cu: 0.0000 0.0000 0.5000 [2 per cell]
Pt: 0.0000 0.5000 0.0000 [2 per cell]


VASP calculation (PBE) on LaCuPt2 after structural relaxation.

Results
ρ ... 12.46 g cm⁻³
DFT formation energy ... -0.4572 eV per atom
Total energy ... -22.93 eV/f.u.
M_tot ... 0.00 Bohr magnetons per cell

abc: 3.6809 3.6809 5.8293
angles: 90.00 90.00 90.00
Space group P4mm (No. 99)
Asymmetric unit:
La: 0.0000 0.0000 0.0000 [1 per cell]
Cu: 0.5000 0.5000 0.6672 [1 per cell]
Pt: 0.0000 0.0000 0.5212 [1 per cell]
Pt: 0.5000 0.5000 0.2335 [1 per cell]


VASP calculation (PBE) on LaCu2Pt4 after structural relaxation.

Results
ρ ... 14.36 g cm⁻³
DFT formation energy ... -0.4776 eV per atom
Total energy ... -40.63 eV/f.u.
M_tot ... 0.00 Bohr magnetons per cell

abc: 8.5691 6.8113 5.2106
angles: 90.00 127.26 90.00
Space group C2/m (No. 12)
Asymmetric unit:
La: 0.0000 0.0000 0.0000 [2 per cell]
Cu: 0.9999 0.5000 0.2496 [4 per cell]
Pt: 0.2001 0.2002 0.7000 [8 per cell]


VASP calculation (PBE) on La2CuPt after structural relaxation.

Results
ρ ... 8.75 g cm⁻³
DFT formation energy ... -0.7031 eV per atom
Total energy ... -22.80 eV/f.u.
M_tot ... 0.00 Bohr magnetons per cell

abc: 5.8872 4.6184 7.9459
angles: 90.00 109.54 90.00
Space group P2_1/m (No. 11)
Asymmetric unit:
La: 0.2265 0.2500 0.4358 [2 per cell]
La: 0.2297 0.2500 0.9301 [2 per cell]
Cu: 0.3471 0.7500 0.2118 [2 per cell]
Pt: 0.3378 0.7500 0.7108 [2 per cell]


VASP calculation (PBE) on La2CuPt after structural relaxation.

Results
ρ ... 7.75 g cm⁻³
DFT formation energy ... -0.5638 eV per atom
Total energy ... -22.25 eV/f.u.
M_tot ... 0.00 Bohr magnetons per cell

abc: 4.4096 4.4096 20.4753
angles: 90.00 90.00 120.00
Space group R3m (No. 160, hexagonal axes)
Asymmetric unit:
La: 0.0000 0.0000 0.0000 [3 per cell]
La: 0.0000 0.0000 0.1743 [3 per cell]
Cu: 0.0000 0.0000 0.4199 [3 per cell]
Pt: 0.0000 0.0000 0.7550 [3 per cell]